DFT (GGA-PBE) results for crystalline DyY2In3Se6 at its relaxed geometry.

Unit cell a=7.191 b=12.455 c=8.101 alpha=90.00 beta=107.22 gamma=90.00
Space group C2/m (No. 12)
Asymmetric unit:
Dy  0.000  0.000  0.000 [2 per cell]
Y  0.000  0.333  0.000 [4 per cell]
In  0.000  0.167  0.500 [4 per cell]
In  0.000  0.500  0.500 [2 per cell]
Se  0.236  0.166  0.209 [8 per cell]
Se  0.237  0.500  0.209 [4 per cell]

As for the uncorrected formation energy: -30.1 kcal/mol of atoms. As for the mass density: 5551 kg/m³. Its calculated volume is 347 Å³/f.u. The calculated total energy is -124.68 eV for the cell shown.